# LaTc3Ag | Alexandria via LeMat-Bulk | GGA-PBEsol | optimized geometry
data_LaTc3Ag
_symmetry_space_group_name_H-M 'P 1'
_symmetry_Int_Tables_number 1
_cell_length_a 4.664
_cell_length_b 4.664
_cell_length_c 4.664
_cell_angle_alpha 90.00
_cell_angle_beta 90.00
_cell_angle_gamma 90.00
loop_
_symmetry_equiv_pos_as_xyz
'x,y,z'
loop_
_atom_site_label
_atom_site_fract_x
_atom_site_fract_y
_atom_site_fract_z
_atom_site_occupancy
Tc1 0.000 0.000 0.500 1
Ag1 0.500 0.500 0.500 1
Tc2 0.500 0.000 0.000 1
La1 0.000 0.000 0.000 1
Tc3 0.000 0.500 0.000 1
# **ΔE_f**: 11.0 eV per formula unit
# **DFT total energy**: -31.441 eV/cell
# **Theoretical density**: 8.85 g/cm³

***

# ZrTa3Br | Alexandria via LeMat-Bulk | GGA-PBEsol | optimized geometry
data_ZrTa3Br
_symmetry_space_group_name_H-M 'P 1'
_symmetry_Int_Tables_number 1
_cell_length_a 4.689
_cell_length_b 4.689
_cell_length_c 4.689
_cell_angle_alpha 90.00
_cell_angle_beta 90.00
_cell_angle_gamma 90.00
loop_
_symmetry_equiv_pos_as_xyz
'x,y,z'
loop_
_atom_site_label
_atom_site_fract_x
_atom_site_fract_y
_atom_site_fract_z
_atom_site_occupancy
Zr1 0.500 0.500 0.500 1
Ta1 0.000 0.500 0.000 1
Ta2 0.000 0.000 0.500 1
Ta3 0.500 0.000 0.000 1
Br1 0.000 0.000 0.000 1
# **Formation energy (no corrections)**: 1.092 eV per atom
# **DFT total energy**: -43.150 eV/cell
# **Theoretical density**: 11.50 g/cm³

***

# Li2BrCl | Alexandria via LeMat-Bulk | GGA-PBEsol | optimized geometry
data_Li2BrCl
_symmetry_space_group_name_H-M 'P 1'
_symmetry_Int_Tables_number 1
_cell_length_a 3.707
_cell_length_b 3.707
_cell_length_c 6.415
_cell_angle_alpha 73.21
_cell_angle_beta 73.21
_cell_angle_gamma 60.00
loop_
_symmetry_equiv_pos_as_xyz
'x,y,z'
loop_
_atom_site_label
_atom_site_fract_x
_atom_site_fract_y
_atom_site_fract_z
_atom_site_occupancy
Cl1 0.500 0.500 0.500 1
Li1 0.755 0.755 0.736 1
Br1 0.000 0.000 0.000 1
Li2 0.245 0.245 0.264 1
# **Formation energy (no corrections)**: -1.682 eV per atom
# **DFT total energy**: -14.537 eV/cell
# **Theoretical density**: 2.98 g/cm³

***

# CaAgAsO5 | Alexandria via LeMat-Bulk | GGA-PBEsol | optimized geometry
data_CaAgAsO5
_symmetry_space_group_name_H-M 'P 1'
_symmetry_Int_Tables_number 1
_cell_length_a 5.947
_cell_length_b 7.519
_cell_length_c 9.610
_cell_angle_alpha 90.00
_cell_angle_beta 90.00
_cell_angle_gamma 90.00
loop_
_symmetry_equiv_pos_as_xyz
'x,y,z'
loop_
_atom_site_label
_atom_site_fract_x
_atom_site_fract_y
_atom_site_fract_z
_atom_site_occupancy
O1 0.625 0.771 0.568 1
Ag1 0.746 0.751 0.000 1
Ca1 0.500 0.183 0.164 1
Ag2 0.754 0.249 0.500 1
Ag3 0.246 0.749 0.000 1
As1 0.034 0.898 0.329 1
O2 0.005 0.372 0.593 1
Ca2 0.500 0.683 0.336 1
O3 0.221 0.379 0.247 1
O4 0.497 0.938 0.964 1
O5 0.249 0.056 0.720 1
As2 0.534 0.602 0.671 1
O6 0.749 0.444 0.280 1
As3 0.466 0.102 0.829 1
O7 0.721 0.121 0.753 1
O8 0.779 0.879 0.253 1
Ag4 0.254 0.251 0.500 1
O9 0.505 0.128 0.407 1
Ca3 0.000 0.817 0.664 1
O10 0.495 0.628 0.093 1
O11 0.375 0.271 0.932 1
As4 0.966 0.398 0.171 1
O12 0.003 0.062 0.464 1
O13 0.995 0.872 0.907 1
O14 0.125 0.729 0.432 1
Ca4 0.000 0.317 0.836 1
O15 0.875 0.229 0.068 1
O16 0.251 0.944 0.220 1
O17 0.997 0.562 0.036 1
O18 0.279 0.621 0.747 1
O19 0.503 0.438 0.536 1
O20 0.751 0.556 0.780 1
# **Formation energy (no corrections)**: -1.351 eV per atom
# **DFT total energy**: -190.437 eV/cell
# **Theoretical density**: 4.68 g/cm³

***

# Ir2S3 | Alexandria via LeMat-Bulk | GGA-PBEsol | optimized geometry
data_Ir2S3
_symmetry_space_group_name_H-M 'P 1'
_symmetry_Int_Tables_number 1
_cell_length_a 5.969
_cell_length_b 5.969
_cell_length_c 6.246
_cell_angle_alpha 61.46
_cell_angle_beta 61.46
_cell_angle_gamma 60.00
loop_
_symmetry_equiv_pos_as_xyz
'x,y,z'
loop_
_atom_site_label
_atom_site_fract_x
_atom_site_fract_y
_atom_site_fract_z
_atom_site_occupancy
Ir1 0.148 0.148 0.557 1
S1 0.954 0.250 0.250 1
Ir2 0.648 0.648 0.057 1
Ir3 0.852 0.852 0.443 1
S2 0.546 0.954 0.250 1
Ir4 0.352 0.352 0.943 1
S3 0.454 0.046 0.750 1
S4 0.046 0.750 0.750 1
S5 0.750 0.454 0.750 1
S6 0.250 0.546 0.250 1
# **Formation energy (no corrections)**: -0.438 eV per atom
# **DFT total energy**: -69.975 eV/cell
# **Theoretical density**: 9.93 g/cm³

***

# CaYZr2 | Alexandria via LeMat-Bulk | GGA-PBEsol | optimized geometry
data_CaYZr2
_symmetry_space_group_name_H-M 'P 1'
_symmetry_Int_Tables_number 1
_cell_length_a 3.292
_cell_length_b 3.292
_cell_length_c 11.360
_cell_angle_alpha 81.67
_cell_angle_beta 81.67
_cell_angle_gamma 60.00
loop_
_symmetry_equiv_pos_as_xyz
'x,y,z'
loop_
_atom_site_label
_atom_site_fract_x
_atom_site_fract_y
_atom_site_fract_z
_atom_site_occupancy
Y1 0.000 0.000 0.000 1
Zr1 0.746 0.746 0.762 1
Ca1 0.500 0.500 0.500 1
Zr2 0.254 0.254 0.238 1
# **ΔE_f**: 1.0 eV per formula unit
# **DFT total energy**: -26.097 eV/cell
# **Theoretical density**: 4.92 g/cm³

***

# PRuCS2 | Alexandria via LeMat-Bulk | GGA-PBEsol | optimized geometry
data_PRuCS2
_symmetry_space_group_name_H-M 'P 1'
_symmetry_Int_Tables_number 1
_cell_length_a 3.850
_cell_length_b 3.955
_cell_length_c 3.955
_cell_angle_alpha 90.00
_cell_angle_beta 90.00
_cell_angle_gamma 90.00
loop_
_symmetry_equiv_pos_as_xyz
'x,y,z'
loop_
_atom_site_label
_atom_site_fract_x
_atom_site_fract_y
_atom_site_fract_z
_atom_site_occupancy
Ru1 0.500 0.500 0.500 1
S1 0.000 0.500 0.000 1
S2 0.000 0.000 0.500 1
C1 0.000 0.000 0.000 1
P1 0.500 0.000 0.000 1
# **Formation energy (no corrections)**: 1.053 eV per atom
# **DFT total energy**: -29.111 eV/cell
# **Theoretical density**: 5.74 g/cm³

***

# Ag2W3 | Alexandria via LeMat-Bulk | GGA-PBEsol | optimized geometry
data_Ag2W3
_symmetry_space_group_name_H-M 'P 1'
_symmetry_Int_Tables_number 1
_cell_length_a 2.750
_cell_length_b 2.750
_cell_length_c 12.285
_cell_angle_alpha 83.57
_cell_angle_beta 83.57
_cell_angle_gamma 60.00
loop_
_symmetry_equiv_pos_as_xyz
'x,y,z'
loop_
_atom_site_label
_atom_site_fract_x
_atom_site_fract_y
_atom_site_fract_z
_atom_site_occupancy
W1 0.200 0.200 0.400 1
W2 0.800 0.800 0.600 1
Ag1 0.400 0.400 0.801 1
Ag2 0.600 0.600 0.199 1
W3 0.000 0.000 0.000 1
# **ΔE_f**: 2.7 eV per formula unit
# **DFT total energy**: -45.298 eV/cell
# **Theoretical density**: 15.96 g/cm³